# Sn2BiTe4Pb | Alexandria via LeMat-Bulk | GGA-PBE | relaxed
# Symmetry   I-4m2, No. 119
# D(E_F)   3.43 states/eV/cell
# Energy relative to the elements, uncorrected   -247 meV/atom
# Total DFT energy (no corrections)   -3.767 eV per atom
data_Sn2BiTe4Pb
_chemical_formula_sum 'Sn2 Bi1 Te4 Pb1'
_symmetry_space_group_name_H-M 'P 1'
_symmetry_Int_Tables_number 1
_cell_length_a 7.881
_cell_length_b 7.881
_cell_length_c 7.881
_cell_angle_alpha 131.31
_cell_angle_beta 131.31
_cell_angle_gamma 71.32
loop_
_symmetry_equiv_pos_as_xyz
'x,y,z'
loop_
_atom_site_label
_atom_site_type_symbol
_atom_site_fract_x
_atom_site_fract_y
_atom_site_fract_z
Sn1 Sn 0.000 0.000 0.000
Sn2 Sn 0.750 0.250 0.500
Bi1 Bi 0.500 0.500 0.000
Te1 Te 0.252 0.252 0.000
Te2 Te 0.503 0.003 0.500
Te3 Te 0.748 0.748 0.000
Te4 Te 0.997 0.497 0.500
Pb1 Pb 0.250 0.750 0.500

***

# TlSnBiPb2 | Alexandria via LeMat-Bulk | GGA-PBE | relaxed
# Symmetry   Cmcm, No. 63
# D(E_F)   5.81 states/eV/cell
# Formation energy from the elements   0.160 eV/atom
# Total DFT energy (no corrections)   -3.373 eV per atom
data_TlSnBiPb2
_chemical_formula_sum 'Tl2 Sn2 Bi2 Pb4'
_symmetry_space_group_name_H-M 'P 1'
_symmetry_Int_Tables_number 1
_cell_length_a 8.706
_cell_length_b 8.706
_cell_length_c 6.758
_cell_angle_alpha 90.00
_cell_angle_beta 90.00
_cell_angle_gamma 133.90
loop_
_symmetry_equiv_pos_as_xyz
'x,y,z'
loop_
_atom_site_label
_atom_site_type_symbol
_atom_site_fract_x
_atom_site_fract_y
_atom_site_fract_z
Tl1 Tl 0.168 0.832 0.750
Tl2 Tl 0.832 0.168 0.250
Sn1 Sn 0.363 0.637 0.750
Sn2 Sn 0.637 0.363 0.250
Bi1 Bi 0.346 0.654 0.250
Bi2 Bi 0.654 0.346 0.750
Pb1 Pb 0.248 0.248 0.000
Pb2 Pb 0.248 0.248 0.500
Pb3 Pb 0.752 0.752 0.000
Pb4 Pb 0.752 0.752 0.500

***

# Tl2SnBiPb5 | Alexandria via LeMat-Bulk | GGA-PBE | relaxed
# Symmetry   P4/mbm, No. 127
# D(E_F)   7.33 states/eV/cell
# Formation energy from the elements   0.120 eV/atom
# Total DFT energy (no corrections)   -3.342 eV per atom
data_Tl2SnBiPb5
_chemical_formula_sum 'Tl4 Sn2 Bi2 Pb10'
_symmetry_space_group_name_H-M 'P 1'
_symmetry_Int_Tables_number 1
_cell_length_a 8.215
_cell_length_b 8.215
_cell_length_c 8.855
_cell_angle_alpha 90.00
_cell_angle_beta 90.00
_cell_angle_gamma 90.00
loop_
_symmetry_equiv_pos_as_xyz
'x,y,z'
loop_
_atom_site_label
_atom_site_type_symbol
_atom_site_fract_x
_atom_site_fract_y
_atom_site_fract_z
Tl1 Tl 0.128 0.372 0.000
Tl2 Tl 0.372 0.872 0.000
Tl3 Tl 0.628 0.128 0.000
Tl4 Tl 0.872 0.628 0.000
Sn1 Sn 0.000 0.500 0.500
Sn2 Sn 0.500 0.000 0.500
Bi1 Bi 0.000 0.000 0.500
Bi2 Bi 0.500 0.500 0.500
Pb1 Pb 0.000 0.000 0.000
Pb2 Pb 0.230 0.730 0.307
Pb3 Pb 0.230 0.730 0.693
Pb4 Pb 0.270 0.230 0.307
Pb5 Pb 0.270 0.230 0.693
Pb6 Pb 0.500 0.500 0.000
Pb7 Pb 0.730 0.770 0.307
Pb8 Pb 0.730 0.770 0.693
Pb9 Pb 0.770 0.270 0.307
Pb10 Pb 0.770 0.270 0.693

***

# TlSnBiPb | Alexandria via LeMat-Bulk | GGA-PBE | relaxed
# Symmetry   Pmm2, No. 25
# D(E_F)   1.60 states/eV/cell
# Formation energy from the elements   0.023 eV/atom
# Energy above the lowest structure with this stoichiometry   0.0 kJ per mole of atoms
# Total DFT energy (no corrections)   -3.466 eV per atom
data_TlSnBiPb
_chemical_formula_sum 'Tl1 Sn1 Bi1 Pb1'
_symmetry_space_group_name_H-M 'P 1'
_symmetry_Int_Tables_number 1
_cell_length_a 3.438
_cell_length_b 5.160
_cell_length_c 7.074
_cell_angle_alpha 90.00
_cell_angle_beta 90.00
_cell_angle_gamma 90.00
loop_
_symmetry_equiv_pos_as_xyz
'x,y,z'
loop_
_atom_site_label
_atom_site_type_symbol
_atom_site_fract_x
_atom_site_fract_y
_atom_site_fract_z
Tl1 Tl 0.000 0.000 0.000
Sn1 Sn 0.500 0.500 0.262
Bi1 Bi 0.500 0.500 0.719
Pb1 Pb 0.000 0.000 0.493

***

> Number 2 is which compound?

TlSnBiPb2

***

Please write out number 1 again, unchanged.
# Sn2BiTe4Pb | Alexandria via LeMat-Bulk | GGA-PBE | relaxed
# Symmetry   I-4m2, No. 119
# D(E_F)   3.43 states/eV/cell
# Energy relative to the elements, uncorrected   -247 meV/atom
# Total DFT energy (no corrections)   -3.767 eV per atom
data_Sn2BiTe4Pb
_chemical_formula_sum 'Sn2 Bi1 Te4 Pb1'
_symmetry_space_group_name_H-M 'P 1'
_symmetry_Int_Tables_number 1
_cell_length_a 7.881
_cell_length_b 7.881
_cell_length_c 7.881
_cell_angle_alpha 131.31
_cell_angle_beta 131.31
_cell_angle_gamma 71.32
loop_
_symmetry_equiv_pos_as_xyz
'x,y,z'
loop_
_atom_site_label
_atom_site_type_symbol
_atom_site_fract_x
_atom_site_fract_y
_atom_site_fract_z
Sn1 Sn 0.000 0.000 0.000
Sn2 Sn 0.750 0.250 0.500
Bi1 Bi 0.500 0.500 0.000
Te1 Te 0.252 0.252 0.000
Te2 Te 0.503 0.003 0.500
Te3 Te 0.748 0.748 0.000
Te4 Te 0.997 0.497 0.500
Pb1 Pb 0.250 0.750 0.500

***

> Which value of D(E_F) does entry 2 give?

5.81 states/eV/cell

***

> Which of these has the highest total DFT energy (no corrections)?

Tl2SnBiPb5